(1)
Na2Ti2MnTe6 (PBE-GGA, optimized geometry); formation energy from raw total energies = -0.64 eV/atom; density = 5.00 Mg/m³; total magnetization = 5.12 μB/f.u.; space group = C2/m, No. 12
1.0
3.420 -6.055 0.000
3.420 6.055 0.000
-2.392 0.000 7.717
Na Ti Mn Te
2 2 1 6
direct
0.161 0.839 0.000
0.839 0.161 0.000
0.327 0.673 0.500
0.673 0.327 0.500
0.000 0.000 0.500
0.076 0.406 0.711
0.266 0.266 0.299
0.406 0.076 0.711
0.594 0.924 0.289
0.734 0.734 0.701
0.924 0.594 0.289

---

(2)
Li2ZnP (PBE-GGA, optimized geometry); density = 3.25 Mg/m³; polymorph energy (0 for the lowest one) = 57 meV/atom; total magnetization = 0.00 μB/f.u.; space group = Fm-3m, No. 225
1.0
0.000 3.041 3.041
3.041 0.000 3.041
3.041 3.041 0.000
Li Zn P
2 1 1
direct
0.250 0.250 0.250
0.750 0.750 0.750
0.000 0.000 0.000
0.500 0.500 0.500

---

(3)
RbI (PBE-GGA, optimized geometry); formation energy from raw total energies = -1.39 eV/atom; density = 1.92 Mg/m³; total magnetization = 0.08 μB/f.u.; space group = I-43m, No. 217
1.0
-5.680 5.680 5.680
5.680 -5.680 5.680
5.680 5.680 -5.680
Rb I
4 4
direct
0.000 0.000 0.686
0.000 0.686 0.000
0.314 0.314 0.314
0.686 0.000 0.000
0.000 0.000 0.324
0.000 0.324 0.000
0.324 0.000 0.000
0.676 0.676 0.676